#A
First-principles (GGA-PBE) data for an optimized crystal structure of ReBAsO, as listed in OQMD.

Crystal system: orthorhombic

Cell: 2.913 8.495 4.423 Å, 90.00 90.00 90.00°
Positions (direct):
Re  0.000  0.060  0.000
Re  0.000  0.940  0.500
B  0.500  0.422  0.590
B  0.500  0.578  0.090
As  0.000  0.241  0.458
As  0.000  0.759  0.958
O  0.500  0.450  0.898
O  0.500  0.550  0.398

#B
First-principles (GGA-PBE) data for an optimized crystal structure of ReBAsO, as listed in OQMD.

Crystal system: orthorhombic

Cell: 2.787 6.462 5.328 Å, 90.00 90.00 90.00°
Positions (direct):
Re  0.000  0.064  0.000
Re  0.000  0.936  0.500
B  0.500  0.351  0.439
B  0.500  0.649  0.939
As  0.500  0.340  0.821
As  0.500  0.660  0.321
O  0.000  0.250  0.354
O  0.000  0.750  0.854

Which of them is most stable, and which least? Most stable: #A; least stable: #B.

#A
First-principles (GGA-PBE) data for an optimized crystal structure of ReBAsO, as listed in OQMD.

Crystal system: tetragonal

Cell: 3.501 3.501 9.575 Å, 90.00 90.00 90.00°
Positions (direct):
Re  0.250  0.750  0.000
Re  0.750  0.250  0.000
B  0.250  0.250  0.456
B  0.750  0.750  0.544
As  0.250  0.250  0.801
As  0.750  0.750  0.199
O  0.250  0.750  0.500
O  0.750  0.250  0.500

#B
First-principles (GGA-PBE) data for an optimized crystal structure of ReBAsO, as listed in OQMD.

Crystal system: tetragonal

Cell: 3.115 3.115 10.027 Å, 90.00 90.00 90.00°
Positions (direct):
Re  0.250  0.250  0.137
Re  0.750  0.750  0.863
B  0.250  0.750  0.500
B  0.750  0.250  0.500
As  0.250  0.250  0.710
As  0.750  0.750  0.290
O  0.250  0.750  0.000
O  0.750  0.250  0.000

Which of them is most stable, and which least? Most stable: #A; least stable: #B.

#A
First-principles (GGA-PBE) data for an optimized crystal structure of SmBAsO, as listed in OQMD.

Crystal system: tetragonal

Cell: 5.234 5.234 4.520 Å, 90.00 90.00 90.00°
Positions (direct):
Sm  0.250  0.750  0.000
Sm  0.750  0.250  0.000
B  0.250  0.250  0.003
B  0.750  0.750  0.997
As  0.250  0.250  0.427
As  0.750  0.750  0.573
O  0.250  0.750  0.500
O  0.750  0.250  0.500

#B
First-principles (GGA-PBE) data for an optimized crystal structure of SmBAsO, as listed in OQMD.

Crystal system: tetragonal

Cell: 4.051 4.051 7.402 Å, 90.00 90.00 90.00°
Positions (direct):
Sm  0.250  0.250  0.153
Sm  0.750  0.750  0.847
B  0.250  0.750  0.500
B  0.750  0.250  0.500
As  0.250  0.250  0.619
As  0.750  0.750  0.381
O  0.250  0.750  0.000
O  0.750  0.250  0.000

#C
First-principles (GGA-PBE) data for an optimized crystal structure of SmBAsO, as listed in OQMD.

Crystal system: orthorhombic

Cell: 5.150 4.173 5.921 Å, 90.00 90.00 90.00°
Positions (direct):
Sm  0.000  0.249  0.000
Sm  0.000  0.751  0.500
B  0.500  0.249  0.308
B  0.500  0.751  0.808
As  0.500  0.249  0.673
As  0.500  0.751  0.173
O  0.000  0.252  0.362
O  0.000  0.748  0.862

#D
First-principles (GGA-PBE) data for an optimized crystal structure of SmBAsO, as listed in OQMD.

Crystal system: orthorhombic

Cell: 4.079 6.158 6.017 Å, 90.00 90.00 90.00°
Positions (direct):
Sm  0.000  0.249  0.000
Sm  0.000  0.751  0.500
B  0.500  0.371  0.491
B  0.500  0.629  0.991
As  0.000  0.231  0.499
As  0.000  0.769  0.999
O  0.500  0.409  0.991
O  0.500  0.591  0.491

Which of them is most stable, and which least? Most stable: #B; least stable: #A.

#A
First-principles (GGA-PBE) data for an optimized crystal structure of TcBAsO, as listed in OQMD.

Crystal system: orthorhombic

Cell: 2.744 6.327 5.442 Å, 90.00 90.00 90.00°
Positions (direct):
Tc  0.000  0.058  0.000
Tc  0.000  0.942  0.500
B  0.500  0.354  0.419
B  0.500  0.646  0.919
As  0.500  0.328  0.797
As  0.500  0.672  0.297
O  0.000  0.254  0.331
O  0.000  0.746  0.831

#B
First-principles (GGA-PBE) data for an optimized crystal structure of TcBAsO, as listed in OQMD.

Crystal system: tetragonal

Cell: 3.457 3.457 9.517 Å, 90.00 90.00 90.00°
Positions (direct):
Tc  0.250  0.750  0.000
Tc  0.750  0.250  0.000
B  0.250  0.250  0.455
B  0.750  0.750  0.545
As  0.250  0.250  0.801
As  0.750  0.750  0.199
O  0.250  0.750  0.500
O  0.750  0.250  0.500

#C
First-principles (GGA-PBE) data for an optimized crystal structure of TcBAsO, as listed in OQMD.

Crystal system: orthorhombic

Cell: 2.923 8.458 4.423 Å, 90.00 90.00 90.00°
Positions (direct):
Tc  0.000  0.059  0.000
Tc  0.000  0.941  0.500
B  0.500  0.422  0.589
B  0.500  0.578  0.089
As  0.000  0.238  0.456
As  0.000  0.762  0.956
O  0.500  0.449  0.897
O  0.500  0.551  0.397

Which of them is most stable, and which least? Most stable: #C; least stable: #B.

#A
First-principles (GGA-PBE) data for an optimized crystal structure of ZrBAsO, as listed in OQMD.

Crystal system: tetragonal

Cell: 3.737 3.737 7.893 Å, 90.00 90.00 90.00°
Positions (direct):
Zr  0.250  0.250  0.143
Zr  0.750  0.750  0.857
B  0.250  0.750  0.500
B  0.750  0.250  0.500
As  0.250  0.250  0.648
As  0.750  0.750  0.352
O  0.250  0.750  0.000
O  0.750  0.250  0.000

#B
First-principles (GGA-PBE) data for an optimized crystal structure of ZrBAsO, as listed in OQMD.

Crystal system: orthorhombic

Cell: 3.358 6.684 5.492 Å, 90.00 90.00 90.00°
Positions (direct):
Zr  0.000  0.143  0.000
Zr  0.000  0.857  0.500
B  0.500  0.434  0.499
B  0.500  0.566  0.999
As  0.000  0.260  0.500
As  0.000  0.740  0.000
O  0.500  0.364  0.997
O  0.500  0.636  0.497

Which of them is most stable, and which least? Most stable: #B; least stable: #A.

#A
First-principles (GGA-PBE) data for an optimized crystal structure of ZrBAsO, as listed in OQMD.

Crystal system: tetragonal

Cell: 5.087 5.087 4.282 Å, 90.00 90.00 90.00°
Positions (direct):
Zr  0.250  0.750  0.000
Zr  0.750  0.250  0.000
B  0.250  0.250  0.018
B  0.750  0.750  0.982
As  0.250  0.250  0.530
As  0.750  0.750  0.470
O  0.250  0.750  0.500
O  0.750  0.250  0.500

#B
First-principles (GGA-PBE) data for an optimized crystal structure of ZrBAsO, as listed in OQMD.

Crystal system: orthorhombic

Cell: 2.664 7.588 5.933 Å, 90.00 90.00 90.00°
Positions (direct):
Zr  0.000  0.062  0.000
Zr  0.000  0.938  0.500
B  0.500  0.240  0.292
B  0.500  0.760  0.792
As  0.500  0.265  0.660
As  0.500  0.735  0.160
O  0.000  0.313  0.208
O  0.000  0.687  0.708

Which of them is most stable, and which least? Most stable: #B; least stable: #A.